# Ta2Nb2Cl

A relaxed Ta2Nb2Cl crystal (PBE, Alexandria via LeMat-Bulk).

```
data_Ta2Nb2Cl
_symmetry_space_group_name_H-M 'P 1'
_symmetry_Int_Tables_number 1
_symmetry_space_group_name_Hall 'P 1'
_cell_length_a 7.8650
_cell_length_b 7.8650
_cell_length_c 7.8650
_cell_angle_alpha 152.44
_cell_angle_beta 152.44
_cell_angle_gamma 39.37
loop_
_atom_site_label
_atom_site_type_symbol
_atom_site_fract_x
_atom_site_fract_y
_atom_site_fract_z
Ta1 Ta 0.1041 0.1041 0.0000
Ta2 Ta 0.8959 0.8959 0.0000
Nb1 Nb 0.2500 0.7500 0.5000
Nb2 Nb 0.7500 0.2500 0.5000
Cl1 Cl 0.5000 0.5000 0.0000
```

The calculation puts the total moment at 0.00 μB per cell. As for the density: 9.32 g/cm3. The space group is I4/mmm, No. 139. The calculation puts the total energy at -8.257 eV/atom. The crystal system is tetragonal. The value obtained for the raw formation energy is 85.01 kJ per mole of atoms.